(1)
This record from the Alexandria database describes crystalline LiCa2BeS at its relaxed geometry. The functional is PBE-GGA.

The total energy is -15.8 eV for the cell shown. For the formation energy from raw total energies, the calculation gives -0.41 eV per atom.

Cell lengths 5.400, 4.443, 5.400 Å; angles 90.00, 90.00, 90.00 degrees
Element x y z (fractional)
Be 0.500 0.500 0.500
S 0.000 0.000 0.000
Ca 0.500 0.000 0.000
Ca 0.000 0.000 0.500
Li 0.000 0.500 0.000

---

(2)
This record from the Alexandria database describes crystalline Pm2Ni3As4Pd at its relaxed geometry. The functional is PBE-GGA.

The total energy is -59.1 eV for the cell shown.

Cell lengths 4.264, 4.264, 9.554 Å; angles 90.00, 90.00, 90.00 degrees
Element x y z (fractional)
As 0.500 0.000 0.639
Ni 0.000 0.000 0.500
Pm 0.500 0.000 0.247
Pd 0.500 0.500 0.500
Ni 0.000 0.500 0.114
As 0.500 0.500 0.000
Pm 0.000 0.500 0.753
Ni 0.500 0.000 0.886
As 0.000 0.500 0.361
As 0.000 0.000 0.000

---

(3)
This record from the Alexandria database describes crystalline Ba4Se2BrCl at its relaxed geometry. The functional is PBE-GGA.

The total energy is -33.3 eV for the cell shown. For the formation energy from raw total energies, the calculation gives -1.89 eV per atom.

Cell lengths 4.691, 8.112, 8.115 Å; angles 70.49, 90.00, 90.00 degrees
Element x y z (fractional)
Ba 0.500 0.767 0.241
Br 0.000 0.500 0.500
Se 0.000 0.000 0.000
Ba 0.500 0.233 0.759
Cl 0.500 0.500 0.000
Ba 0.000 0.765 0.748
Se 0.500 0.000 0.500
Ba 0.000 0.235 0.252

---

(4)
This record from the Alexandria database describes crystalline Nd2P2Rh3 at its relaxed geometry. The functional is PBE-GGA.

The total energy is -49.2 eV for the cell shown.

Cell lengths 3.808, 5.545, 7.029 Å; angles 112.31, 90.00, 110.08 degrees
Element x y z (fractional)
P 0.153 0.305 0.230
Rh 0.639 0.278 0.426
P 0.847 0.695 0.770
Nd 0.868 0.736 0.225
Nd 0.132 0.264 0.775
Rh 0.500 0.000 0.000
Rh 0.361 0.722 0.574

---

(5)
This record from the Alexandria database describes crystalline Ac4GeIr3 at its relaxed geometry. The functional is PBE-GGA.

The total energy is -52.6 eV for the cell shown.

Cell lengths 4.350, 4.468, 11.310 Å; angles 90.00, 90.00, 90.00 degrees
Element x y z (fractional)
Ir 0.000 0.500 0.580
Ac 0.000 0.500 0.854
Ac 0.000 0.000 0.142
Ir 0.500 0.000 0.936
Ir 0.000 0.000 0.417
Ge 0.500 0.500 0.062
Ac 0.500 0.500 0.368
Ac 0.500 0.000 0.641

---

(6)
This record from the Alexandria database describes crystalline Pm5SmEr4 at its relaxed geometry. The functional is PBE-GGA.

The total energy is -45.2 eV for the cell shown.

Cell lengths 3.576, 10.482, 9.247 Å; angles 83.77, 101.15, 90.00 degrees
Element x y z (fractional)
Er 0.317 0.912 0.634
Pm 0.857 0.231 0.715
Sm 0.500 0.000 0.000
Pm 0.500 0.500 0.000
Er 0.046 0.238 0.092
Er 0.954 0.762 0.908
Er 0.683 0.088 0.366
Pm 0.811 0.596 0.623
Pm 0.189 0.404 0.377
Pm 0.143 0.769 0.285

---

(7)
This record from the Alexandria database describes crystalline NdCrCl6 at its relaxed geometry. The functional is PBE-GGA.

The total energy is -38.3 eV for the cell shown. For the formation energy from raw total energies, the calculation gives -1.60 eV per atom.

Cell lengths 6.453, 6.453, 6.950 Å; angles 62.33, 62.33, 60.00 degrees
Site moments in Bohr magnetons follow the coordinates.
Element x y z (fractional)
Cl 0.926 0.621 0.231  -0.01
Cl 0.074 0.379 0.769  -0.01
Cr 0.000 0.000 0.000  2.84
Nd 0.500 0.500 0.500  0.01
Cl 0.222 0.926 0.231  -0.01
Cl 0.778 0.074 0.769  -0.01
Cl 0.379 0.778 0.769  -0.01
Cl 0.621 0.222 0.231  -0.01

---

Q: What is the total energy in the first record?
A: -15.8 eV for the cell shown